(1)
The following is a DFT calculation (PBEsol) of a relaxed structure of BaMgCr2.

abc: 3.4271 3.8620 7.5732
angles: 90.00 90.00 90.00
With the nearest neighbours (Å) after each atom.
Sites, in units of the cell vectors:
Ba 0.0000 0.0000 0.0000  2 Ba 3.43, 8 Cr 3.50, 2 Mg 3.79
Mg 0.0000 0.0000 0.5000  8 Cr 2.95
Cr 0.5000 0.5000 0.3112  1 Cr 2.86, 4 Mg 2.95
Cr 0.5000 0.5000 0.6888  1 Cr 2.86, 4 Mg 2.95

## Properties
Energy of formation from the pure elements   0.9577 eV/atom
Symmetry   No. 47

---

(2)
The following is a DFT calculation (PBEsol) of a relaxed structure of RbCrNi3.

abc: 4.4587 4.4587 4.4587
angles: 90.00 90.00 90.00
With the nearest neighbours (Å) after each atom.
Sites, in units of the cell vectors:
Rb 0.0000 0.0000 0.0000  12 Ni 3.15
Cr 0.5000 0.5000 0.5000  6 Ni 2.23
Ni 0.0000 0.5000 0.5000  2 Cr 2.23
Ni 0.5000 0.0000 0.5000  2 Cr 2.23
Ni 0.5000 0.5000 0.0000  2 Cr 2.23

## Properties
Energy of formation from the pure elements   1.2210 eV/atom
Symmetry   No. 221

---

(3)
The following is a DFT calculation (PBEsol) of a relaxed structure of SmGd3.

abc: 6.0678 6.0678 6.0678
angles: 131.73 131.73 70.66
With the nearest neighbours (Å) after each atom.
Sites, in units of the cell vectors:
Sm 0.0000 0.0000 0.0000  12 Gd 3.50-3.51
Gd 0.2500 0.7500 0.5000  8 Gd 3.50-3.51, 4 Sm 3.50
Gd 0.5000 0.5000 0.0000  8 Gd 3.50, 4 Sm 3.51
Gd 0.7500 0.2500 0.5000  8 Gd 3.50-3.51, 4 Sm 3.50

## Properties
Energy of formation from the pure elements   0.0197 eV/atom
Relative energy among the computed polymorphs   6 meV per atom
Symmetry   No. 139

---

(4)
The following is a DFT calculation (PBEsol) of a relaxed structure of Y2Co.

abc: 7.0011 7.0011 4.6394
angles: 90.00 90.00 120.00
With the nearest neighbours (Å) after each atom.
Sites, in units of the cell vectors:
Y 0.0000 0.4026 0.0000  5 Co 2.82-3.15
Y 0.0000 0.7300 0.5000  2 Co 2.58
Y 0.2700 0.2700 0.5000  2 Co 2.58
Y 0.4026 0.0000 0.0000  5 Co 2.82-3.15
Y 0.5974 0.5974 0.0000  5 Co 2.82-3.15
Y 0.7300 0.0000 0.5000  2 Co 2.58
Co 0.0000 0.0000 0.0000  9 Y 2.82-2.99
Co 0.3333 0.6667 0.5000  3 Y 2.58
Co 0.6667 0.3333 0.5000  3 Y 2.58

## Properties
Energy of formation from the pure elements   -0.0768 eV/atom
Symmetry   No. 189

---

(5)
The following is a DFT calculation (PBEsol) of a relaxed structure of ReSiSe.

abc: 4.2716 4.2716 2.8956
angles: 90.00 90.00 120.00
With the nearest neighbours (Å) after each atom.
Sites, in units of the cell vectors:
Re 0.0000 0.0000 0.0000  3 Se 2.47
Si 0.6667 0.3333 0.4982  6 Re 2.86, 6 Se 2.86, 2 Si 2.90
Se 0.3333 0.6667 0.9996  3 Re 2.47

## Properties
Relative energy among the computed polymorphs   221 meV per atom
E_form (uncorrected)   447 meV per atom
Symmetry   No. 156

---

(6)
The following is a DFT calculation (PBEsol) of a relaxed structure of K2YBP.

abc: 7.1755 7.1755 5.0674
angles: 90.00 90.00 90.00
With the nearest neighbours (Å) after each atom.
Sites, in units of the cell vectors:
K 0.0000 0.5000 0.0000  2 Y 3.59
K 0.5000 0.0000 0.0000  2 Y 3.59
Y 0.0000 0.0000 0.0000  2 P 2.53
B 0.5000 0.5000 0.5000  8 K 4.39
P 0.0000 0.0000 0.5000  2 Y 2.53

## Properties
Energy of formation from the pure elements   1.3409 eV/atom
Symmetry   No. 123

---

(7)
The following is a DFT calculation (PBEsol) of a relaxed structure of TiBS2.

abc: 5.5541 5.5541 5.5541
angles: 123.16 123.16 84.60
With the nearest neighbours (Å) after each atom.
Sites, in units of the cell vectors:
Ti 0.0000 0.0000 0.0000  4 S 2.39
Ti 0.7500 0.2500 0.5000  4 S 2.39
B 0.2500 0.7500 0.5000  4 S 1.91
B 0.5000 0.5000 0.0000  4 S 1.91
S 0.1990 0.6250 0.0740  2 B 1.91
S 0.3750 0.4490 0.5740  2 B 1.91
S 0.5510 0.1250 0.9260  2 B 1.91
S 0.8750 0.8010 0.4260  2 B 1.91

## Properties
E_form (uncorrected)   -373 meV per atom
Symmetry   No. 122

---

(8)
The following is a DFT calculation (PBEsol) of a relaxed structure of LiMgCo2.

abc: 2.5116 2.5116 8.3034
angles: 90.00 90.00 106.09
With the nearest neighbours (Å) after each atom.
Sites, in units of the cell vectors:
Li 0.0000 0.0000 0.0000  4 Li 2.51, 4 Co 2.55
Mg 0.0000 0.0000 0.5000  4 Mg 2.51, 4 Co 2.58
Co 0.5000 0.5000 0.2481  4 Co 2.51, 2 Li 2.55, 2 Mg 2.58
Co 0.5000 0.5000 0.7519  4 Co 2.51, 2 Li 2.55, 2 Mg 2.58

## Properties
Energy of formation from the pure elements   0.3340 eV/atom
Symmetry   No. 65

---

(9)
The following is a DFT calculation (PBEsol) of a relaxed structure of Fe2AgRu.

abc: 4.5683 4.5683 4.5683
angles: 131.93 131.93 70.33
With the nearest neighbours (Å) after each atom.
Sites, in units of the cell vectors:
Fe 0.0000 0.0000 0.0000  4 Ru 2.63, 4 Fe 2.64, 4 Ag 2.64
Fe 0.7500 0.2500 0.5000  4 Ag 2.63, 4 Fe 2.64, 4 Ru 2.64
Ag 0.2500 0.7500 0.5000  8 Fe 2.63-2.64, 4 Ru 2.64
Ru 0.5000 0.5000 0.0000  8 Fe 2.63-2.64, 4 Ag 2.64

## Properties
Energy of formation from the pure elements   0.4835 eV/atom
Relative energy among the computed polymorphs   65 meV per atom
Symmetry   No. 119

---

(10)
The following is a DFT calculation (PBEsol) of a relaxed structure of YMgOs2.

abc: 4.0910 4.0910 4.0823
angles: 90.00 90.00 90.00
With the nearest neighbours (Å) after each atom.
Sites, in units of the cell vectors:
Y 0.0000 0.0000 0.0000  8 Os 2.89, 4 Mg 2.89
Mg 0.5000 0.5000 0.0000  8 Os 2.89, 4 Y 2.89
Os 0.0000 0.5000 0.5000  4 Mg 2.89, 4 Y 2.89, 4 Os 2.89
Os 0.5000 0.0000 0.5000  4 Mg 2.89, 4 Y 2.89, 4 Os 2.89

## Properties
Energy of formation from the pure elements   0.3266 eV/atom
Symmetry   No. 123

---

(11)
The following is a DFT calculation (PBEsol) of a relaxed structure of HfPtC2.

abc: 3.9711 3.9711 3.9711
angles: 60.00 60.00 60.00
With the nearest neighbours (Å) after each atom.
Sites, in units of the cell vectors:
Hf 0.0000 0.0000 0.0000  8 C 2.43
Pt 0.5000 0.5000 0.5000  8 C 2.43
C 0.2500 0.2500 0.2500  4 Pt 2.43, 4 Hf 2.43
C 0.7500 0.7500 0.7500  4 Hf 2.43, 4 Pt 2.43

## Properties
Energy of formation from the pure elements   0.7737 eV/atom
Symmetry   No. 225

---

(12)
The following is a DFT calculation (PBEsol) of a relaxed structure of PPd3Se.

abc: 4.5912 4.5912 4.5912
angles: 90.00 90.00 90.00
With the nearest neighbours (Å) after each atom.
Sites, in units of the cell vectors:
P 0.0000 0.0000 0.0000  12 Pd 3.25
Pd 0.0000 0.5000 0.5000  2 Se 2.30
Pd 0.5000 0.0000 0.5000  2 Se 2.30
Pd 0.5000 0.5000 0.0000  2 Se 2.30
Se 0.5000 0.5000 0.5000  6 Pd 2.30

## Properties
E_form (uncorrected)   568 meV per atom
Symmetry   No. 221

---

| no. | raw total energy (eV per atom) |
| --- | --- |
| 1 | -5.130 |
| 2 | -4.727 |
| 3 | -12.090 |
| 4 | -7.204 |
| 5 | -7.196 |
| 6 | -3.038 |
| 7 | -6.400 |
| 8 | -4.455 |
| 9 | -7.369 |
| 10 | -7.916 |
| 11 | -8.415 |
| 12 | -4.936 |